Compound: Pm2ThZn6
Source: Alexandria via LeMat-Bulk
Functional: PBE
Structure: optimized geometry

Cell: 7.9167 7.9167 3.5679 Å, 90.00 90.00 120.00°
Last column: nearest neighbours and their distance in Å.
Space group P6/mmm (No. 191)
Unique sites:
Pm1 0.3333 0.6667 0.0000 x2  12 Zn 3.18
Th1 0.0000 0.0000 0.0000 x1  12 Zn 3.20, 2 Th 3.57
Zn1 0.0000 0.3349 0.5000 x6  3 Zn 2.61-2.65

Magnetization = 0.001 μB per atom
Calculated density = 7.84 g/cm3
ΔH_f (0 K) = -326 meV per atom
Uncorrected energy = -3.056 eV/atom